8
Lattice="-2.238 2.238 4.885 2.238 -2.238 4.885 2.238 2.238 -4.885" Properties=species:S:1:pos:R:3 comment="ZrFeN2 | Alexandria via LeMat-Bulk | PBE-GGA | optimized geometry" vol_a3_per_fu=49 e_form_raw_ev_per_atom=-0.611 pbc="T T T"
Zr 0.000 0.000 0.000
Zr 0.000 2.238 2.443
Fe 2.238 0.000 2.443
Fe 0.000 0.000 4.885
N 1.119 -0.900 3.664
N 1.339 1.119 1.221
N 1.119 3.138 -1.221
N 0.900 1.119 6.107